A relaxed structure of TcTe2RhN. Source: Alexandria, functional PBE.

Unit cell a=5.2920 b=5.2920 c=3.6572 alpha=90.00 beta=90.00 gamma=90.00
Fractional coordinates of all 5 atoms:
Tc1 0.0000 0.0000 0.0000
N1 0.0000 0.0000 0.5000
Rh1 0.5000 0.5000 0.5000
Te1 0.0000 0.5000 0.0000
Te2 0.5000 0.0000 0.0000

Output
ΔE to the lowest computed polymorph ... 0.0 meV/atom
Spin magnetization ... 0.00 μB/cell
Crystal system ... tetragonal
E_form (uncorrected) ... 2.665 eV per formula unit